Entry w
Y2GaAs: relaxed, PBE-GGA.

Cell: 6.454 6.454 6.454 Å, 106.70 106.70 115.16°
Sites, in units of the cell vectors:
Y 0.114 0.125 0.489
Y 0.375 0.886 0.011
Y 0.636 0.625 0.511
Y 0.875 0.364 0.989
Ga 0.250 0.750 0.500
Ga 0.500 0.500 0.000
As 0.000 0.000 0.000
As 0.750 0.250 0.500

The symmetry is I-42d, No. 122. The value obtained for the density of states at the Fermi level is 1.90 states/eV per cell. For the calculated volume, the calculation gives 25.7 Å³/atom.



Entry x
Y2GaAs: relaxed, PBE-GGA.

Cell: 11.635 11.635 4.101 Å, 90.00 90.00 159.14°
Sites, in units of the cell vectors:
Y 0.066 0.934 0.750
Y 0.314 0.686 0.750
Y 0.686 0.314 0.250
Y 0.934 0.066 0.250
Ga 0.464 0.536 0.750
Ga 0.536 0.464 0.250
As 0.188 0.812 0.750
As 0.812 0.188 0.250

The symmetry is Cmcm, No. 63. The value obtained for the density of states at the Fermi level is 3.85 states/eV per cell. For the calculated volume, the calculation gives 24.7 Å³/atom.



Most stable structure - entry x; separation to the second - 0.442 eV/atom.



Entry w
Y2GaAs: relaxed, PBE-GGA.

Cell: 5.088 5.088 5.088 Å, 60.00 60.00 60.00°
Sites, in units of the cell vectors:
Y 0.250 0.250 0.250
Y 0.750 0.750 0.750
Ga 0.000 0.000 0.000
As 0.500 0.500 0.500

The symmetry is Fm-3m, No. 225. The value obtained for the density of states at the Fermi level is 5.41 states/eV per cell. For the calculated volume, the calculation gives 23.3 Å³/atom.



Entry x
Y2GaAs: relaxed, PBE-GGA.

Cell: 9.694 9.694 9.694 Å, 23.02 23.02 23.02°
Sites, in units of the cell vectors:
Y 0.107 0.107 0.107
Y 0.893 0.893 0.893
Ga 0.000 0.000 0.000
As 0.500 0.500 0.500

The symmetry is R-3m, No. 166. The value obtained for the density of states at the Fermi level is 4.33 states/eV per cell. For the calculated volume, the calculation gives 30.6 Å³/atom.



Most stable structure - entry w; separation to the second - 0.215 eV/atom.



Entry w
YGa3As: relaxed, PBE-GGA.

Cell: 4.947 4.947 4.947 Å, 90.00 90.00 90.00°
Sites, in units of the cell vectors:
Y 0.000 0.000 0.000
Ga 0.000 0.500 0.500
Ga 0.500 0.000 0.500
Ga 0.500 0.500 0.000
As 0.500 0.500 0.500

The symmetry is Pm-3m, No. 221. The value obtained for the density of states at the Fermi level is 2.73 states/eV per cell. For the calculated volume, the calculation gives 24.2 Å³/atom.



Entry x
YGa3As: relaxed, PBE-GGA.

Cell: 5.455 5.455 5.455 Å, 90.00 90.00 90.00°
Sites, in units of the cell vectors:
Y 0.000 0.000 0.000
Ga 0.000 0.000 0.500
Ga 0.000 0.500 0.000
Ga 0.500 0.000 0.000
As 0.500 0.500 0.500

The symmetry is Pm-3m, No. 221. The value obtained for the density of states at the Fermi level is 4.16 states/eV per cell. For the calculated volume, the calculation gives 32.5 Å³/atom.



Most stable structure - entry w; separation to the second - 0.673 eV/atom.



Entry w
Zr2GaAs: relaxed, PBE-GGA.

Cell: 4.775 4.775 4.775 Å, 60.00 60.00 60.00°
Sites, in units of the cell vectors:
Zr 0.250 0.250 0.250
Zr 0.750 0.750 0.750
Ga 0.000 0.000 0.000
As 0.500 0.500 0.500

The symmetry is Fm-3m, No. 225. The value obtained for the density of states at the Fermi level is 3.21 states/eV per cell. For the calculated volume, the calculation gives 19.2 Å³/atom.



Entry x
Zr2GaAs: relaxed, PBE-GGA.

Cell: 6.782 6.782 6.782 Å, 32.99 32.99 32.99°
Sites, in units of the cell vectors:
Zr 0.249 0.249 0.249
Zr 0.751 0.751 0.751
Ga 0.000 0.000 0.000
As 0.500 0.500 0.500

The symmetry is R-3m, No. 166. The value obtained for the density of states at the Fermi level is 1.45 states/eV per cell. For the calculated volume, the calculation gives 20.6 Å³/atom.



Most stable structure - entry x; separation to the second - 0.311 eV/atom.